Material: Co2TcAgAu
Method: DFT, PBE-GGA
State: optimized geometry

Energy of formation from the pure elements   1.866 eV per atom

a b c (Å): 4.6053 4.6053 4.9684
angles (deg): 90.00 90.00 90.00
Closest atoms and distances in Å follow each position.
Space group P4/mmm (No. 123)
Symmetry-distinct sites (fractional):
Co: 0.0000 0.5000 0.0000 x2  2 Ag 2.30
Tc: 0.0000 0.0000 0.5000 x1  4 Au 3.26, 8 Co 3.39
Ag: 0.5000 0.5000 0.0000 x1  4 Co 2.30, 2 Au 2.48
Au: 0.5000 0.5000 0.5000 x1  2 Ag 2.48

***

Material: Rb2CrI2Cl2
Method: DFT, PBE-GGA
State: optimized geometry

ΔE to the lowest computed polymorph   0.0 meV per atom

a b c (Å): 17.8702 7.5016 7.5045
angles (deg): 90.00 90.00 90.00
Closest atoms and distances in Å follow each position.
Space group Cmce (No. 64)
Symmetry-distinct sites (fractional):
Rb: 0.1259 0.0000 0.0000 x8  4 Cl 3.49, 5 I 3.79-3.88
Cr: 0.0000 0.0000 0.5000 x4  2 Cl 2.40
I: 0.1571 0.0000 0.5000 x8  1 Cr 2.81
Cl: 0.0000 0.2265 0.2738 x8  1 Cr 2.40

***

Material: PtC2
Method: DFT, PBE-GGA
State: optimized geometry

ΔE to the lowest computed polymorph   340.8 meV per atom
Energy of formation from the pure elements   0.662 eV per atom

a b c (Å): 2.6172 8.6179 8.7733
angles (deg): 90.00 90.00 90.00
Closest atoms and distances in Å follow each position.
Space group Imma (No. 74)
Symmetry-distinct sites (fractional):
Pt: 0.0000 0.2500 0.1122 x4  2 C 1.95
C: 0.0000 0.2500 0.5528 x4  1 C 1.38
C: 0.0000 0.2500 0.7102 x4  3 C 1.38-1.48

***

Material: SrZnCu
Method: DFT, PBE-GGA
State: optimized geometry

Energy of formation from the pure elements   -0.030 eV per atom

a b c (Å): 3.5019 3.5019 10.8253
angles (deg): 90.00 90.00 90.00
Closest atoms and distances in Å follow each position.
Space group I4mm (No. 107)
Symmetry-distinct sites (fractional):
Sr: 0.0000 0.0000 0.0000 x2  5 Zn 3.15-3.35, 5 Cu 3.18-3.34, 4 Sr 3.50
Zn: 0.0000 0.0000 0.2910 x2  4 Cu 2.64
Cu: 0.0000 0.0000 0.7066 x2  4 Zn 2.64